Entry 1:
DFT (PBE) results for an optimized crystal structure of Y2SnRh.

Computed properties:
D(E_F) ... 0.63 states/eV per atom
SG ... No. 123
Final energy ... -27.33 eV/cell
Energy of formation from the pure elements ... -3.05 eV per formula unit

a = 3.462 Å, b = 3.462 Å, c = 7.894 Å
α = 90.00°, β = 90.00°, γ = 90.00°
Fractional positions:
Y 0.000 0.000 0.215
Y 0.000 0.000 0.785
Sn 0.500 0.500 0.500
Rh 0.500 0.500 0.000

=====

Entry 2:
DFT (PBE) results for an optimized crystal structure of CsRbAs.

Computed properties:
D(E_F) ... 1.65 states/eV per atom
SG ... No. 216
Final energy ... -27.92 eV/cell
Energy of formation from the pure elements ... -0.51 eV per formula unit

a = 8.520 Å, b = 8.520 Å, c = 8.520 Å
α = 90.00°, β = 90.00°, γ = 90.00°
Fractional positions:
Cs 0.000 0.000 0.000
Cs 0.000 0.500 0.500
Cs 0.500 0.000 0.500
Cs 0.500 0.500 0.000
Rb 0.000 0.000 0.500
Rb 0.000 0.500 0.000
Rb 0.500 0.000 0.000
Rb 0.500 0.500 0.500
As 0.250 0.250 0.750
As 0.250 0.750 0.250
As 0.750 0.250 0.250
As 0.750 0.750 0.750

=====

Entry 3:
DFT (PBE) results for an optimized crystal structure of Ac3InGe2Pt6.

Computed properties:
D(E_F) ... 0.42 states/eV per atom
SG ... No. 164
Final energy ... -70.44 eV/cell
Energy of formation from the pure elements ... -9.90 eV per formula unit

a = 5.827 Å, b = 5.827 Å, c = 9.959 Å
α = 90.00°, β = 90.00°, γ = 120.00°
Fractional positions:
Ac 0.000 0.000 0.000
Ac 0.333 0.667 0.615
Ac 0.667 0.333 0.385
In 0.000 0.000 0.500
Ge 0.333 0.667 0.090
Ge 0.667 0.333 0.910
Pt 0.167 0.333 0.278
Pt 0.167 0.833 0.278
Pt 0.333 0.167 0.722
Pt 0.667 0.833 0.278
Pt 0.833 0.167 0.722
Pt 0.833 0.667 0.722

=====

Entry 4:
DFT (PBE) results for an optimized crystal structure of Sm2TeI.

Computed properties:
D(E_F) ... 0.48 states/eV per atom
SG ... No. 166
Final energy ... -54.74 eV/cell
Uncorrected formation energy ... -1.029 eV per atom

a = 4.573 Å, b = 4.573 Å, c = 21.683 Å
α = 90.00°, β = 90.00°, γ = 120.00°
Fractional positions:
Sm 0.000 0.000 0.234
Sm 0.000 0.000 0.766
Sm 0.333 0.667 0.433
Sm 0.333 0.667 0.901
Sm 0.667 0.333 0.099
Sm 0.667 0.333 0.567
Te 0.000 0.000 0.500
Te 0.333 0.667 0.167
Te 0.667 0.333 0.833
I 0.000 0.000 0.000
I 0.333 0.667 0.667
I 0.667 0.333 0.333

=====

Entry 5:
DFT (PBE) results for an optimized crystal structure of CrAs2Cl.

Computed properties:
D(E_F) ... 0.67 states/eV per atom
SG ... No. 216
Final energy ... -77.14 eV/cell
Uncorrected formation energy ... 0.371 eV per atom

a = 6.699 Å, b = 6.699 Å, c = 6.699 Å
α = 90.00°, β = 90.00°, γ = 90.00°
Fractional positions:
Cr 0.000 0.000 0.000
Cr 0.000 0.500 0.500
Cr 0.500 0.000 0.500
Cr 0.500 0.500 0.000
As 0.000 0.000 0.500
As 0.000 0.500 0.000
As 0.250 0.250 0.750
As 0.250 0.750 0.250
As 0.500 0.000 0.000
As 0.500 0.500 0.500
As 0.750 0.250 0.250
As 0.750 0.750 0.750
Cl 0.250 0.250 0.250
Cl 0.250 0.750 0.750
Cl 0.750 0.250 0.750
Cl 0.750 0.750 0.250

=====

Entry 6:
DFT (PBE) results for an optimized crystal structure of SbPb2Cl.

Computed properties:
D(E_F) ... 0.32 states/eV per atom
SG ... No. 12
Final energy ... -28.92 eV/cell
Uncorrected formation energy ... -0.268 eV per atom

a = 8.177 Å, b = 8.188 Å, c = 3.472 Å
α = 90.00°, β = 90.12°, γ = 90.00°
Fractional positions:
Sb 0.000 0.000 0.000
Sb 0.500 0.500 0.000
Pb 0.250 0.250 0.500
Pb 0.250 0.750 0.500
Pb 0.750 0.250 0.500
Pb 0.750 0.750 0.500
Cl 0.000 0.500 0.000
Cl 0.500 0.000 0.000

=====

Entry 7:
DFT (PBE) results for an optimized crystal structure of Na15Zn.

Computed properties:
D(E_F) ... 0.39 states/eV per atom
SG ... No. 187
Final energy ... -20.55 eV/cell
Energy of formation from the pure elements ... 0.51 eV per formula unit

a = 7.310 Å, b = 7.310 Å, c = 11.883 Å
α = 90.00°, β = 90.00°, γ = 120.00°
Fractional positions:
Na 0.000 0.000 0.000
Na 0.006 0.503 0.500
Na 0.322 0.161 0.264
Na 0.322 0.161 0.736
Na 0.333 0.667 0.244
Na 0.333 0.667 0.756
Na 0.497 0.503 0.500
Na 0.497 0.994 0.500
Na 0.503 0.005 0.000
Na 0.503 0.497 0.000
Na 0.839 0.161 0.264
Na 0.839 0.161 0.736
Na 0.839 0.678 0.264
Na 0.839 0.678 0.736
Na 0.995 0.497 0.000
Zn 0.000 0.000 0.500

=====

Entry 8:
DFT (PBE) results for an optimized crystal structure of Tl2TcW.

Computed properties:
D(E_F) ... 1.07 states/eV per atom
SG ... No. 139
Final energy ... -46.54 eV/cell
Energy of formation from the pure elements ... 4.78 eV per formula unit

a = 4.166 Å, b = 4.166 Å, c = 8.893 Å
α = 90.00°, β = 90.00°, γ = 90.00°
Fractional positions:
Tl 0.000 0.500 0.250
Tl 0.000 0.500 0.750
Tl 0.500 0.000 0.250
Tl 0.500 0.000 0.750
Tc 0.000 0.000 0.000
Tc 0.500 0.500 0.500
W 0.000 0.000 0.500
W 0.500 0.500 0.000